VCdIrRh: optimized geometry, PBE.

Computed properties:
energy of formation: -63 meV per atom

Cell and atoms, written as CIF:
```
data_VCdIrRh
_chemical_formula_sum 'V4 Cd4 Ir4 Rh4'
_space_group_name_H-M_alt 'F -4 3 m'
_space_group_IT_number 216
_space_group_name_Hall 'F -4 2 3'
_cell_length_a 6.266
_cell_length_b 6.266
_cell_length_c 6.266
_cell_angle_alpha 90.00
_cell_angle_beta 90.00
_cell_angle_gamma 90.00
loop_
_atom_site_label
_atom_site_type_symbol
_atom_site_fract_x
_atom_site_fract_y
_atom_site_fract_z
V1 V 0.000 0.000 0.000
Cd1 Cd 0.000 0.000 0.500
Ir1 Ir 0.250 0.250 0.750
Rh1 Rh 0.250 0.250 0.250
```